# CdNiC2O6, relaxed, DFT PBE with a Hubbard U
# Density = 4.562 g cm⁻³
# Total energy = -6.499 eV per atom
# Space group = R-3
data_CdNiC2O6
_chemical_formula_sum 'Cd1 Ni1 C2 O6'
_cell_length_a 5.9522
_cell_length_b 5.9522
_cell_length_c 5.9522
_cell_angle_alpha 47.80
_cell_angle_beta 47.80
_cell_angle_gamma 47.80
_symmetry_space_group_name_H-M 'P 1'
_symmetry_Int_Tables_number 1
loop_
_symmetry_equiv_pos_as_xyz
'x,y,z'
loop_
_atom_site_label
_atom_site_type_symbol
_atom_site_fract_x
_atom_site_fract_y
_atom_site_fract_z
Cd1 Cd 0.0000 0.0000 0.0000
Ni1 Ni 0.5000 0.5000 0.5000
C1 C 0.2433 0.2433 0.2433
C2 C 0.7567 0.7567 0.7567
O1 O 0.0371 0.5009 0.7292
O2 O 0.2708 0.9629 0.4991
O3 O 0.4991 0.2708 0.9629
O4 O 0.5009 0.7292 0.0371
O5 O 0.7292 0.0371 0.5009
O6 O 0.9629 0.4991 0.2708